VASP calculation (PBE-GGA) on an optimized crystal structure of La2Nd6Sc.

Unit cell a=3.6374 b=3.6374 c=27.2095 alpha=90.00 beta=90.00 gamma=120.00
Positions (direct):
La  0.6667  0.3333  0.3268
La  0.6667  0.3333  0.6732
Nd  0.6667  0.3333  0.9000
Nd  0.3333  0.6667  0.4371
Nd  0.3333  0.6667  0.7887
Nd  0.3333  0.6667  0.2112
Nd  0.3333  0.6667  0.5629
Nd  0.6667  0.3333  0.1000
Sc  0.3333  0.6667  0.0000

Computed properties:
- spin magnetization (μB per formula unit) = 0.0
- energy relative to the lowest polymorph listed for this composition (meV per atom) = 0
- total DFT energy (no corrections) (eV per atom) = -4.901
- energy relative to the elements (eV/atom) = 0.076



VASP calculation (PBE-GGA) on an optimized crystal structure of La4Nd3Sc.

Unit cell a=5.9282 b=7.5903 c=7.5903 alpha=125.26 beta=90.00 gamma=90.00
Positions (direct):
La  0.0000  0.7792  0.7792
La  0.5000  0.2416  0.7584
La  0.0000  0.2208  0.2208
La  0.5000  0.7584  0.2416
Nd  0.0000  0.0000  0.5000
Nd  0.5000  0.5000  0.5000
Nd  0.0000  0.5000  0.0000
Sc  0.5000  0.0000  0.0000

Computed properties:
- spin magnetization (μB per formula unit) = 0.0
- energy relative to the lowest polymorph listed for this composition (meV per atom) = 226
- total DFT energy (no corrections) (eV per atom) = -4.710
- energy relative to the elements (eV/atom) = 0.333



VASP calculation (PBE-GGA) on an optimized crystal structure of La3Nd3Sc2.

Unit cell a=5.1727 b=5.1829 c=10.5023 alpha=104.31 beta=104.26 gamma=90.00
Positions (direct):
La  0.8660  0.3658  0.7319
La  0.1340  0.6342  0.2681
La  0.0000  0.0000  0.0000
Nd  0.3658  0.8659  0.7315
Nd  0.5000  0.5000  0.0000
Nd  0.6342  0.1341  0.2685
Sc  0.7506  0.7503  0.5011
Sc  0.2494  0.2497  0.4989

Computed properties:
- spin magnetization (μB per formula unit) = 0.0
- total DFT energy (no corrections) (eV per atom) = -5.174
- energy relative to the elements (eV/atom) = 0.045